Density functional theory data (GGA-PBE) for a geometry-optimized TaSb structure.

The space group is P4/mmm (No. 123) and the conventional cell measures 3.420, 3.420 and 3.408 Å, with angles of 90.00, 90.00 and 90.00 degrees. The inequivalent atoms are Ta at (0.000, 0.000, 0.000) and Sb at (0.500, 0.500, 0.500).

Its uncorrected formation energy is 14.5 kJ per mole of atoms.